No. 1
This record from Alexandria describes a geometry-optimized TcTeAu2 structure. The functional is PBE.

Calculated values
magnetic moment = 2.37 μB per formula unit
final energy = -4.5236 eV/atom
N(E_F) = 0.84 states/eV per atom

abc: 7.808 7.808 6.152
angles: 50.61 50.61 90.00
Last column: magnetic moment on the atom in μB.
Sites, in units of the cell vectors:
Te (0.000, 0.000, 0.000)  -0.01
Te (0.750, 0.250, 0.500)  -0.01
Au (0.618, 0.125, 0.250)  0.04
Au (0.132, 0.625, 0.250)  0.03
Au (0.375, 0.382, 0.750)  0.04
Au (0.875, 0.868, 0.750)  0.03
Tc (0.500, 0.500, 0.000)  2.12
Tc (0.250, 0.750, 0.500)  2.11

=====

No. 2
This record from Alexandria describes a geometry-optimized SrRe2Ni structure. The functional is PBE.

Calculated values
relative energy among the computed polymorphs = 494 meV/atom
magnetic moment = 0.00 μB per formula unit
final energy = -7.1937 eV/atom
ΔE_f = 0.896 eV per atom
N(E_F) = 0.81 states/eV per atom

abc: 5.532 5.532 5.532
angles: 145.95 122.36 68.67
Sites, in units of the cell vectors:
Ni (0.205, 0.705, 0.500)
Re (0.998, 0.998, 0.000)
Re (0.803, 0.303, 0.500)
Sr (0.493, 0.493, 0.000)

=====

No. 3
This record from Alexandria describes a geometry-optimized Sm2ZrAl structure. The functional is PBE.

Calculated values
relative energy among the computed polymorphs = 0 meV/atom
magnetic moment = 0.00 μB per formula unit
final energy = -5.5528 eV/atom
ΔE_f = -0.121 eV per atom
N(E_F) = 0.88 states/eV per atom

abc: 4.750 4.632 4.632
angles: 90.00 90.00 90.00
Sites, in units of the cell vectors:
Zr (0.500, 0.500, 0.500)
Sm (0.000, 0.000, 0.500)
Sm (0.000, 0.500, 0.000)
Al (0.500, 0.000, 0.000)

=====

No. 4
This record from Alexandria describes a geometry-optimized Ac4ThTe5 structure. The functional is PBE.

Calculated values
relative energy among the computed polymorphs = 0 meV/atom
magnetic moment = 0.00 μB per formula unit
final energy = -5.3434 eV/atom
N(E_F) = 0.67 states/eV per atom

abc: 4.689 4.689 19.183
angles: 82.98 82.98 60.00
Sites, in units of the cell vectors:
Ac (0.896, 0.896, 0.311)
Ac (0.299, 0.299, 0.102)
Ac (0.701, 0.701, 0.898)
Ac (0.104, 0.104, 0.689)
Th (0.500, 0.500, 0.500)
Te (0.402, 0.402, 0.794)
Te (0.000, 0.000, 0.000)
Te (0.598, 0.598, 0.206)
Te (0.803, 0.803, 0.590)
Te (0.197, 0.197, 0.410)